Here is a relaxed Na2CrAuO crystal from Alexandria. Energies are from PBE with a Hubbard U.

Unit cell a=4.704 b=4.704 c=4.066 alpha=90.00 beta=90.00 gamma=90.00
Last column: magnetic moment on the atom in μB.
Sites, in units of the cell vectors:
Cr 0.000 0.000 0.500  3.93
Au 0.500 0.500 0.500  0.03
O 0.000 0.000 0.000  0.00
Na 0.000 0.500 0.000  0.00
Na 0.500 0.000 0.000  0.00

Output
Uncorrected energy ... -22.029 eV per cell
N(E_F) ... 0.20 states/eV/atom
SG ... P4/mmm, No. 123